[1]
# Tl2Br PBE relaxed
data_Tl2Br
_chemical_formula_sum 'Tl8 Br4'
_cell_length_a 4.178
_cell_length_b 4.476
_cell_length_c 23.601
_cell_angle_alpha 90.00
_cell_angle_beta 90.00
_cell_angle_gamma 90.00
_space_group_name_H-M_alt 'I m m a'
_space_group_IT_number 74
_space_group_name_Hall '-I 2b 2'
loop_
_atom_site_label
_atom_site_type_symbol
_atom_site_fract_x
_atom_site_fract_y
_atom_site_fract_z
Tl1 Tl 0.000 0.250 0.058
Tl2 Tl 0.000 0.250 0.190
Br1 Br 0.000 0.250 0.623
# Energy ... -29.84 eV per cell
# Energy above the most stable polymorph in this dataset ... 95 meV/atom
# Energy relative to the elements, uncorrected ... -0.35 eV per atom

[2]
# TlBr PBE relaxed
data_TlBr
_chemical_formula_sum 'Tl4 Br4'
_cell_length_a 7.475
_cell_length_b 7.475
_cell_length_c 7.475
_cell_angle_alpha 90.00
_cell_angle_beta 90.00
_cell_angle_gamma 90.00
_space_group_name_H-M_alt 'F -4 3 m'
_space_group_IT_number 216
_space_group_name_Hall 'F -4 2 3'
loop_
_atom_site_label
_atom_site_type_symbol
_atom_site_fract_x
_atom_site_fract_y
_atom_site_fract_z
Tl1 Tl 0.000 0.000 0.000
Br1 Br 0.250 0.250 0.250
# Energy ... -22.49 eV per cell
# Energy above the most stable polymorph in this dataset ... 71 meV/atom
# Energy relative to the elements, uncorrected ... -0.79 eV per atom

[3]
# TlBr PBE relaxed
data_TlBr
_chemical_formula_sum 'Tl2 Br2'
_cell_length_a 4.6293
_cell_length_b 4.6293
_cell_length_c 8.2553
_cell_angle_alpha 90.00
_cell_angle_beta 90.00
_cell_angle_gamma 120.00
_space_group_name_H-M_alt 'P 63/m m c'
_space_group_IT_number 194
_space_group_name_Hall '-P 6c 2c'
loop_
_atom_site_label
_atom_site_type_symbol
_atom_site_fract_x
_atom_site_fract_y
_atom_site_fract_z
Tl1 Tl 0.3333 0.6667 0.2500
Br1 Br 0.0000 0.0000 0.0000
# Energy ... -11.44 eV per cell
# Energy above the most stable polymorph in this dataset ... 22 meV/atom
# Energy relative to the elements, uncorrected ... -0.84 eV per atom

[4]
# TlBr3 PBE relaxed
data_TlBr3
_chemical_formula_sum 'Tl2 Br6'
_cell_length_a 5.533
_cell_length_b 10.761
_cell_length_c 4.818
_cell_angle_alpha 90.00
_cell_angle_beta 90.00
_cell_angle_gamma 90.00
_space_group_name_H-M_alt 'C m m m'
_space_group_IT_number 65
_space_group_name_Hall '-C 2 2'
loop_
_atom_site_label
_atom_site_type_symbol
_atom_site_fract_x
_atom_site_fract_y
_atom_site_fract_z
Tl1 Tl 0.000 0.000 0.000
Br1 Br 0.000 0.223 0.500
Br2 Br 0.000 0.500 0.000
# Energy ... -17.31 eV per cell
# Energy relative to the elements, uncorrected ... -0.32 eV per atom